#w
VASP calculation (PBE) on a relaxed structure of Pm2Pr5Ho.

Computed properties:
mass density	6.86	g/cm³

a = 7.3345 Å, b = 14.7097 Å, c = 5.2006 Å
α = 90.00°, β = 90.00°, γ = 90.00°
Last column: nearest neighbours and their distance in Å.
Space group Pbam (No. 55)
Unique sites:
Pm: 0.2500 0.1236 0.0000 (multiplicity 4)  10 Pr 3.64-3.72, 2 Ho 3.66
Pr: 0.0000 0.0000 0.5000 (multiplicity 2)  4 Pm 3.66, 2 Ho 3.67, 6 Pr 3.67-3.70
Pr: 0.0010 0.7482 0.5000 (multiplicity 4)  1 Ho 3.65, 7 Pr 3.67-3.70, 4 Pm 3.67-3.70
Pr: 0.2481 0.3763 0.0000 (multiplicity 4)  4 Pm 3.64-3.72, 2 Ho 3.66, 6 Pr 3.67-3.70
Ho: 0.0000 0.5000 0.5000 (multiplicity 2)  8 Pr 3.65-3.67, 4 Pm 3.66


#x
VASP calculation (PBE) on a relaxed structure of Pm2Pr5Ho.

Computed properties:
mass density	6.70	g/cm³

a = 6.3418 Å, b = 28.7566 Å, c = 6.6878 Å
α = 90.00°, β = 109.42°, γ = 90.00°
Last column: nearest neighbours and their distance in Å.
Space group C2/c (No. 15)
Unique sites:
Pm: 0.0000 0.0000 0.0000 (multiplicity 4)  2 Ho 3.07, 2 Pr 3.23, 2 Pm 3.34
Pm: 0.2500 0.2500 0.0000 (multiplicity 4)  8 Pr 3.54-3.75, 2 Pm 3.77
Pr: 0.0000 0.0962 0.2500 (multiplicity 4)  2 Pm 3.23, 4 Pr 3.36-3.42
Pr: 0.2004 0.3909 0.0880 (multiplicity 8)  4 Pr 3.42-3.70, 1 Ho 3.57, 1 Pm 3.81
Pr: 0.2382 0.3087 0.4950 (multiplicity 8)  5 Pr 3.36-3.64, 4 Pm 3.54-3.75
Ho: 0.0000 0.4888 0.7500 (multiplicity 4)  2 Pm 3.07, 2 Ho 3.41


Stability summary - winner: #w; margin: 0.190 eV/atom.


#w
VASP calculation (PBE) on a relaxed structure of Pm3Pr2Ho6.

Computed properties:
mass density	7.44	g/cm³

a = 6.1697 Å, b = 10.7044 Å, c = 11.7233 Å
α = 90.00°, β = 100.16°, γ = 90.00°
Last column: nearest neighbours and their distance in Å.
Space group C2/m (No. 12)
Unique sites:
Pm: 0.0000 0.0000 0.0000 (multiplicity 2)  6 Ho 3.54, 6 Pm 3.55-3.59
Pm: 0.0000 0.3358 0.0000 (multiplicity 4)  6 Pm 3.52-3.59, 6 Ho 3.52-3.55
Pr: 0.0000 0.1667 0.5000 (multiplicity 4)  6 Ho 3.55-3.56, 3 Pr 3.56-3.57
Ho: 0.2493 0.5000 0.2489 (multiplicity 4)  3 Pm 3.52-3.54, 2 Pr 3.56, 6 Ho 3.56-3.57
Ho: 0.2498 0.1665 0.2492 (multiplicity 8)  3 Pm 3.54-3.55, 2 Pr 3.55, 6 Ho 3.56-3.57


#x
VASP calculation (PBE) on a relaxed structure of Pm3Pr2Ho6.

Computed properties:
mass density	7.46	g/cm³

a = 4.7758 Å, b = 4.7758 Å, c = 33.3282 Å
α = 90.00°, β = 90.00°, γ = 90.00°
Last column: nearest neighbours and their distance in Å.
Space group I4/mmm (No. 139)
Unique sites:
Pm: 0.0000 0.0000 0.0000 (multiplicity 2)  8 Pr 3.72
Pm: 0.0000 0.0000 0.2035 (multiplicity 4)  9 Ho 3.39-3.63
Pr: 0.0000 0.0000 0.4535 (multiplicity 4)  1 Pr 3.10, 4 Ho 3.46
Ho: 0.0000 0.0000 0.3065 (multiplicity 4)  4 Ho 3.38, 5 Pm 3.39-3.44
Ho: 0.0000 0.5000 0.1216 (multiplicity 8)  6 Ho 3.38, 2 Pr 3.46, 2 Pm 3.63


Stability summary - winner: #w; margin: 0.075 eV/atom.


#w
VASP calculation (PBE) on a relaxed structure of Pm2Pr4Ho3.

Computed properties:
mass density	7.18	g/cm³

a = 3.6414 Å, b = 3.6414 Å, c = 27.1387 Å
α = 90.00°, β = 90.00°, γ = 120.00°
Last column: nearest neighbours and their distance in Å.
Space group P3m1 (No. 156)
Unique sites:
Pm: 0.0000 0.0000 0.0000 (multiplicity 1)  3 Ho 3.57, 6 Pm 3.64, 3 Pr 3.72
Pm: 0.0000 0.0000 0.2099 (multiplicity 1)  3 Ho 3.51, 1 Pr 3.60, 6 Pm 3.64
Pr: 0.0000 0.0000 0.3427 (multiplicity 1)  3 Ho 3.54, 1 Pm 3.60, 6 Pr 3.64
Pr: 0.0000 0.0000 0.5559 (multiplicity 1)  3 Ho 3.61, 9 Pr 3.64-3.78
Pr: 0.3333 0.6667 0.6718 (multiplicity 1)  3 Ho 3.59, 9 Pr 3.64-3.78
Pr: 0.3333 0.6667 0.8868 (multiplicity 1)  3 Ho 3.60, 6 Pr 3.64, 3 Pm 3.72
Ho: 0.0000 0.0000 0.7791 (multiplicity 1)  6 Pr 3.59-3.60, 6 Ho 3.64
Ho: 0.3333 0.6667 0.1064 (multiplicity 1)  6 Pm 3.51-3.57, 6 Ho 3.64
Ho: 0.3333 0.6667 0.4478 (multiplicity 1)  6 Pr 3.54-3.61, 6 Ho 3.64


#x
VASP calculation (PBE) on a relaxed structure of Pm2Pr4Ho3.

Computed properties:
mass density	7.30	g/cm³

a = 5.1538 Å, b = 6.2935 Å, c = 10.9100 Å
α = 73.42°, β = 89.95°, γ = 65.86°
Last column: nearest neighbours and their distance in Å.
Space group P-1 (No. 2)
Unique sites:
Pm: 0.1679 0.1641 0.2247 (multiplicity 2)  5 Ho 3.60-3.66, 7 Pr 3.62-3.66
Pr: 0.1664 0.1674 0.8882 (multiplicity 2)  4 Ho 3.64-3.65, 4 Pm 3.64-3.66, 4 Pr 3.65-3.66
Pr: 0.4983 0.5036 0.6658 (multiplicity 2)  6 Ho 3.62-3.65, 3 Pm 3.62-3.64, 3 Pr 3.63-3.65
Ho: 0.1658 0.1684 0.5535 (multiplicity 2)  3 Pm 3.60-3.64, 6 Pr 3.62-3.65, 3 Ho 3.62-3.63
Ho: 0.5000 0.5000 0.0000 (multiplicity 1)  8 Pr 3.64, 4 Pm 3.66


Stability summary - winner: #x; margin: 0.038 eV/atom.


#w
VASP calculation (PBE) on a relaxed structure of Pm3Pr2Ho3.

Computed properties:
mass density	7.37	g/cm³

a = 5.6420 Å, b = 12.0006 Å, c = 16.1354 Å
α = 90.00°, β = 90.00°, γ = 90.00°
Last column: nearest neighbours and their distance in Å.
Space group Cmcm (No. 63)
Unique sites:
Pm: 0.0000 0.0767 0.0939 (multiplicity 8)  2 Pm 3.38-3.54, 3 Pr 3.60-3.77, 5 Ho 3.69-3.73
Pm: 0.0000 0.2649 0.2500 (multiplicity 4)  3 Ho 3.31-3.51, 2 Pm 3.38, 4 Pr 3.45
Pr: 0.0000 0.2201 0.6275 (multiplicity 8)  4 Ho 3.32-3.49, 3 Pm 3.45-3.60
Ho: 0.0000 0.3819 0.0503 (multiplicity 8)  1 Ho 3.27, 3 Pr 3.32-3.46, 1 Pm 3.51
Ho: 0.0000 0.4595 0.7500 (multiplicity 4)  1 Pm 3.31, 2 Pr 3.49


#x
VASP calculation (PBE) on a relaxed structure of Pm3Pr2Ho3.

Computed properties:
mass density	7.51	g/cm³

a = 5.1175 Å, b = 5.1266 Å, c = 20.4270 Å
α = 90.00°, β = 90.00°, γ = 90.00°
Last column: nearest neighbours and their distance in Å.
Space group Immm (No. 71)
Unique sites:
Pm: 0.0000 0.0000 0.0000 (multiplicity 2)  4 Pm 3.58, 8 Ho 3.59-3.62
Pm: 0.0000 0.5000 0.1225 (multiplicity 4)  6 Ho 3.58-3.62, 2 Pm 3.58, 4 Pr 3.65
Pr: 0.0000 0.0000 0.2498 (multiplicity 4)  4 Pr 3.62, 4 Ho 3.64-3.65, 4 Pm 3.65
Ho: 0.0000 0.0000 0.5000 (multiplicity 2)  8 Pm 3.58-3.62, 4 Ho 3.59
Ho: 0.0000 0.5000 0.3767 (multiplicity 4)  6 Pm 3.59-3.62, 2 Ho 3.59, 4 Pr 3.64-3.65


Stability summary - winner: #x; margin: 0.111 eV/atom.